Entry 1:
Compound: BaZrTc
Source: Alexandria via LeMat-Bulk
Functional: PBE-GGA
Structure: optimized geometry

Output
Space-group type: P3m1 (156)
Magnetization in μB/f.u.: 0.0
Energy of formation in eV/atom: 0.77
E_tot in eV/atom: -6.171
ρ in g cm⁻³: 7.32

abc: 4.7872 4.7872 3.7347
angles: 90.00 90.00 120.00
Positions (direct):
Ba (0.0000, 0.0000, 0.0000)
Zr (0.3333, 0.6667, 0.5619)
Tc (0.6667, 0.3333, 0.3667)


Entry 2:
Compound: NaAuC2O6
Source: Alexandria via LeMat-Bulk
Functional: PBE-GGA
Structure: optimized geometry

Output
Space-group type: R-3 (148)
Magnetization in μB/f.u.: 2.0
Uncorrected formation energy in eV per atom: -1.0415
E_tot in eV/atom: -6.321
ρ in g cm⁻³: 4.71

abc: 6.3076 6.3076 6.3076
angles: 46.33 46.33 46.33
Positions (direct):
Na (0.0000, 0.0000, 0.0000)
Au (0.5000, 0.5000, 0.5000)
C (0.2411, 0.2411, 0.2411)
C (0.7589, 0.7589, 0.7589)
O (0.0188, 0.4964, 0.7567)
O (0.2433, 0.9812, 0.5036)
O (0.4964, 0.7567, 0.0188)
O (0.5036, 0.2433, 0.9812)
O (0.7567, 0.0188, 0.4964)
O (0.9812, 0.5036, 0.2433)


Entry 3:
Compound: Sm5S6
Source: Alexandria via LeMat-Bulk
Functional: PBE-GGA
Structure: optimized geometry

Output
Space-group type: C2/m (12)
Magnetization in μB/f.u.: 0.0
Uncorrected formation energy in eV per atom: -2.0637
E_tot in eV/atom: -6.460
ρ in g cm⁻³: 5.77

abc: 6.9356 6.9356 6.9065
angles: 99.63 99.63 119.83
Positions (direct):
Sm (0.0000, 0.0000, 0.0000)
Sm (0.1657, 0.8343, 0.5000)
Sm (0.3376, 0.6624, 0.0000)
Sm (0.6624, 0.3376, 0.0000)
Sm (0.8343, 0.1657, 0.5000)
S (0.0810, 0.4160, 0.2479)
S (0.2492, 0.2492, 0.7459)
S (0.4160, 0.0810, 0.2479)
S (0.5840, 0.9190, 0.7521)
S (0.7508, 0.7508, 0.2541)
S (0.9190, 0.5840, 0.7521)